First-principles (PBE-GGA) data for a relaxed La2Sm6Er crystal, as listed in Alexandria.

## Properties
E above lowest polymorph, eV per atom: 0.041
SG: P-6m2

Lattice parameters (Å, degrees): 3.643 3.643 27.037 90.00 90.00 120.00
Element x y z (fractional)
La: 0.667 0.333 0.328
La: 0.667 0.333 0.672
Sm: 0.667 0.333 0.895
Sm: 0.333 0.667 0.438
Sm: 0.333 0.667 0.787
Sm: 0.333 0.667 0.213
Sm: 0.333 0.667 0.562
Sm: 0.667 0.333 0.105
Er: 0.333 0.667 0.000

First-principles (PBE-GGA) data for a relaxed LaSm2Er3 crystal, as listed in Alexandria.

## Properties
E above lowest polymorph, eV per atom: 0.145
SG: Cmc2_1

Lattice parameters (Å, degrees): 6.364 8.142 8.142 72.06 90.00 90.00
Element x y z (fractional)
La: 0.784 0.824 0.824
La: 0.284 0.176 0.176
Sm: 0.564 0.736 0.374
Sm: 0.064 0.626 0.264
Sm: 0.564 0.374 0.736
Sm: 0.064 0.264 0.626
Er: 0.119 0.879 0.518
Er: 0.619 0.482 0.121
Er: 0.119 0.518 0.879
Er: 0.619 0.121 0.482
Er: 0.308 0.919 0.919
Er: 0.808 0.081 0.081

First-principles (PBE-GGA) data for a relaxed LaSm5Er3 crystal, as listed in Alexandria.

## Properties
E above lowest polymorph, eV per atom: 0.000
SG: C2/c

Lattice parameters (Å, degrees): 6.410 11.888 11.302 129.57 90.00 105.64
Element x y z (fractional)
La: 0.858 0.000 0.750
La: 0.142 0.000 0.250
Sm: 0.394 0.000 0.750
Sm: 0.650 0.660 0.026
Sm: 0.876 0.337 0.131
Sm: 0.350 0.340 0.974
Sm: 0.540 0.663 0.369
Sm: 0.606 0.000 0.250
Sm: 0.010 0.660 0.526
Sm: 0.990 0.340 0.474
Sm: 0.460 0.337 0.631
Sm: 0.124 0.663 0.869
Er: 0.000 0.000 0.000
Er: 0.462 0.326 0.311
Er: 0.000 0.000 0.500
Er: 0.538 0.674 0.689
Er: 0.864 0.326 0.811
Er: 0.136 0.674 0.189

First-principles (PBE-GGA) data for a relaxed La3Sm2Er7 crystal, as listed in Alexandria.

## Properties
SG: P-1

Lattice parameters (Å, degrees): 3.610 5.739 19.872 103.64 95.18 90.00
Element x y z (fractional)
La: 0.500 0.500 0.000
La: 0.822 0.867 0.643
La: 0.178 0.133 0.357
Sm: 0.358 0.427 0.714
Sm: 0.642 0.573 0.286
Er: 0.271 0.284 0.542
Er: 0.729 0.716 0.458
Er: 0.416 0.024 0.830
Er: 0.000 0.000 0.000
Er: 0.584 0.976 0.170
Er: 0.070 0.450 0.140
Er: 0.930 0.550 0.860

Number 1: E_tot -0.3444 Ry per atom. Number 2: E_tot -0.3276 Ry per atom. Number 3: E_tot -0.3232 Ry per atom. Number 4: E_tot -0.3370 Ry per atom.